(1)
DFT (PBE) results for Pm2Nd5Tm after structural relaxation.

Structure (CIF):
```
data_Pm2Nd5Tm
_symmetry_space_group_name_H-M 'P b a m'
_symmetry_Int_Tables_number 55
_symmetry_space_group_name_Hall '-P 2 2ab'
_cell_length_a 7.291
_cell_length_b 14.622
_cell_length_c 5.152
_cell_angle_alpha 90.00
_cell_angle_beta 90.00
_cell_angle_gamma 90.00
loop_
_atom_site_label
_atom_site_fract_x
_atom_site_fract_y
_atom_site_fract_z
_atom_site_occupancy
Pm1 0.249 0.124 0.000 1
Nd1 0.000 0.248 0.500 1
Nd2 0.000 0.500 0.500 1
Nd3 0.249 0.876 0.000 1
Tm1 0.000 0.000 0.500 1
```

**Excess energy over the best structure of this formula in the dataset**: 0.000 eV/atom
**Calculated formation energy**: 1 kJ/mol of atoms
**Electronic total energy**: -4.7116 eV per atom
**Total magnetization**: 0.0 μB/f.u.
**Density of states at the Fermi level**: 1.47 states/eV/atom

---

(2)
DFT (PBE) results for RePtRh4 after structural relaxation.

Structure (CIF):
```
data_RePtRh4
_symmetry_space_group_name_H-M 'C m c 21'
_symmetry_Int_Tables_number 36
_symmetry_space_group_name_Hall 'C 2c -2'
_cell_length_a 2.745
_cell_length_b 14.208
_cell_length_c 8.934
_cell_angle_alpha 90.00
_cell_angle_beta 90.00
_cell_angle_gamma 90.00
loop_
_atom_site_label
_atom_site_fract_x
_atom_site_fract_y
_atom_site_fract_z
_atom_site_occupancy
Re1 0.000 0.165 0.000 1
Pt1 0.000 0.278 0.750 1
Rh1 0.000 0.054 0.253 1
Rh2 0.000 0.170 0.502 1
Rh3 0.000 0.391 0.255 1
Rh4 0.000 0.496 0.504 1
```

**Excess energy over the best structure of this formula in the dataset**: 0.021 eV/atom
**Calculated formation energy**: -6 kJ/mol of atoms
**Electronic total energy**: -8.0464 eV per atom
**Total magnetization**: 0.0 μB/f.u.
**Density of states at the Fermi level**: 0.98 states/eV/atom

---

(3)
DFT (PBE) results for LiCoAsRh after structural relaxation.

Structure (CIF):
```
data_LiCoAsRh
_symmetry_space_group_name_H-M 'F -4 3 m'
_symmetry_Int_Tables_number 216
_symmetry_space_group_name_Hall 'F -4 2 3'
_cell_length_a 5.780
_cell_length_b 5.780
_cell_length_c 5.780
_cell_angle_alpha 90.00
_cell_angle_beta 90.00
_cell_angle_gamma 90.00
loop_
_atom_site_label
_atom_site_fract_x
_atom_site_fract_y
_atom_site_fract_z
_atom_site_occupancy
Li1 0.000 0.000 0.000 1
Co1 0.250 0.250 0.250 1
As1 0.000 0.000 0.500 1
Rh1 0.250 0.250 0.750 1
```

**Calculated formation energy**: -35 kJ/mol of atoms
**Electronic total energy**: -5.6226 eV per atom
**Total magnetization**: 0.0 μB/f.u.
**Density of states at the Fermi level**: 0.41 states/eV/atom

---

(4)
DFT (PBE) results for Sc2TlAs2 after structural relaxation.

Structure (CIF):
```
data_Sc2TlAs2
_symmetry_space_group_name_H-M 'I 4/m m m'
_symmetry_Int_Tables_number 139
_symmetry_space_group_name_Hall '-I 4 2'
_cell_length_a 3.781
_cell_length_b 3.781
_cell_length_c 15.463
_cell_angle_alpha 90.00
_cell_angle_beta 90.00
_cell_angle_gamma 90.00
loop_
_atom_site_label
_atom_site_fract_x
_atom_site_fract_y
_atom_site_fract_z
_atom_site_occupancy
Sc1 0.000 0.000 0.116 1
Tl1 0.000 0.000 0.500 1
As1 0.000 0.500 0.250 1
```

**Excess energy over the best structure of this formula in the dataset**: 0.213 eV/atom
**Calculated formation energy**: -52 kJ/mol of atoms
**Electronic total energy**: -5.4001 eV per atom
**Total magnetization**: 0.0 μB/f.u.
**Density of states at the Fermi level**: 0.62 states/eV/atom

---

(5)
DFT (PBE) results for La3Tb8Sc2 after structural relaxation.

Structure (CIF):
```
data_La3Tb8Sc2
_symmetry_space_group_name_H-M 'C 1 2/m 1'
_symmetry_Int_Tables_number 12
_symmetry_space_group_name_Hall '-C 2y'
_cell_length_a 19.736
_cell_length_b 7.787
_cell_length_c 5.622
_cell_angle_alpha 90.00
_cell_angle_beta 90.06
_cell_angle_gamma 90.00
loop_
_atom_site_label
_atom_site_fract_x
_atom_site_fract_y
_atom_site_fract_z
_atom_site_occupancy
La1 0.000 0.000 0.000 1
La2 0.000 0.298 0.500 1
Tb1 0.115 0.292 0.001 1
Tb2 0.137 0.000 0.499 1
Tb3 0.181 0.500 0.502 1
Sc1 0.240 0.000 0.998 1
```

**Calculated formation energy**: 24 kJ/mol of atoms
**Electronic total energy**: -4.7149 eV per atom
**Total magnetization**: 0.0 μB/f.u.
**Density of states at the Fermi level**: 1.57 states/eV/atom

---

(6)
DFT (PBE) results for ZnIn2Se after structural relaxation.

Structure (CIF):
```
data_ZnIn2Se
_symmetry_space_group_name_H-M 'P m m m'
_symmetry_Int_Tables_number 47
_symmetry_space_group_name_Hall '-P 2 2'
_cell_length_a 2.974
_cell_length_b 4.041
_cell_length_c 7.793
_cell_angle_alpha 90.00
_cell_angle_beta 90.00
_cell_angle_gamma 90.00
loop_
_atom_site_label
_atom_site_fract_x
_atom_site_fract_y
_atom_site_fract_z
_atom_site_occupancy
Zn1 0.000 0.000 0.000 1
In1 0.500 0.500 0.226 1
Se1 0.500 0.000 0.500 1
```

**Excess energy over the best structure of this formula in the dataset**: 0.108 eV/atom
**Electronic total energy**: -2.6216 eV per atom
**Formation energy (no corrections)**: -0.06 eV per atom
**Total magnetization**: 0.0 μB/f.u.
**Density of states at the Fermi level**: 0.30 states/eV/atom

---

(7)
DFT (PBE) results for Pr3YAg after structural relaxation.

Structure (CIF):
```
data_Pr3YAg
_symmetry_space_group_name_H-M 'C 1 2/m 1'
_symmetry_Int_Tables_number 12
_symmetry_space_group_name_Hall '-C 2y'
_cell_length_a 11.761
_cell_length_b 8.698
_cell_length_c 8.070
_cell_angle_alpha 90.00
_cell_angle_beta 122.99
_cell_angle_gamma 90.00
loop_
_atom_site_label
_atom_site_fract_x
_atom_site_fract_y
_atom_site_fract_z
_atom_site_occupancy
Pr1 0.048 0.000 0.306 1
Pr2 0.183 0.295 0.698 1
Y1 0.076 0.500 0.263 1
Ag1 0.227 0.500 0.055 1
```

**Calculated formation energy**: 5 kJ/mol of atoms
**Electronic total energy**: -4.6778 eV per atom
**Total magnetization**: 0.0 μB/f.u.
**Density of states at the Fermi level**: 1.36 states/eV/atom

---

(8)
DFT (PBE) results for HfZr2Sb after structural relaxation.

Structure (CIF):
```
data_HfZr2Sb
_symmetry_space_group_name_H-M 'I -4'
_symmetry_Int_Tables_number 82
_symmetry_space_group_name_Hall 'I -4'
_cell_length_a 11.347
_cell_length_b 11.347
_cell_length_c 5.712
_cell_angle_alpha 90.00
_cell_angle_beta 90.00
_cell_angle_gamma 90.00
loop_
_atom_site_label
_atom_site_fract_x
_atom_site_fract_y
_atom_site_fract_z
_atom_site_occupancy
Hf1 0.185 0.216 0.263 1
Zr1 0.026 0.643 0.525 1
Zr2 0.081 0.107 0.710 1
Sb1 0.036 0.710 0.028 1
```

**Electronic total energy**: -8.2546 eV per atom
**Formation energy (no corrections)**: -0.46 eV per atom
**Total magnetization**: 0.0 μB/f.u.
**Density of states at the Fermi level**: 0.73 states/eV/atom